[1]
# CeHgF3 GGA-PBE optimized geometry
# Final energy: -0.199 Ha/atom
# Symmetry: Pm-3m, No. 221
data_CeHgF3
_cell_length_a 4.706
_cell_length_b 4.706
_cell_length_c 4.706
_cell_angle_alpha 90.00
_cell_angle_beta 90.00
_cell_angle_gamma 90.00
_symmetry_space_group_name_H-M 'P 1'
_symmetry_Int_Tables_number 1
_symmetry_space_group_name_Hall 'P 1'
loop_
_atom_site_label
_atom_site_type_symbol
_atom_site_fract_x
_atom_site_fract_y
_atom_site_fract_z
Ce1 Ce 0.000 0.000 0.000
Hg1 Hg 0.500 0.500 0.500
F1 F 0.000 0.000 0.500
F2 F 0.000 0.500 0.000
F3 F 0.500 0.000 0.000

---

[2]
# Na5CaAs2 GGA-PBE optimized geometry
# Energy of formation from the pure elements: -0.2982 eV per atom
# Symmetry: P6_3/mmc, No. 194
data_Na5CaAs2
_cell_length_a 5.388
_cell_length_b 5.388
_cell_length_c 18.935
_cell_angle_alpha 90.00
_cell_angle_beta 90.00
_cell_angle_gamma 120.00
_symmetry_space_group_name_H-M 'P 1'
_symmetry_Int_Tables_number 1
_symmetry_space_group_name_Hall 'P 1'
loop_
_atom_site_label
_atom_site_type_symbol
_atom_site_fract_x
_atom_site_fract_y
_atom_site_fract_z
Na1 Na 0.000 0.000 0.120
Na2 Na 0.000 0.000 0.380
Na3 Na 0.000 0.000 0.620
Na4 Na 0.000 0.000 0.880
Na5 Na 0.333 0.667 0.052
Na6 Na 0.333 0.667 0.250
Na7 Na 0.333 0.667 0.448
Na8 Na 0.667 0.333 0.552
Na9 Na 0.667 0.333 0.750
Na10 Na 0.667 0.333 0.948
Ca1 Ca 0.333 0.667 0.750
Ca2 Ca 0.667 0.333 0.250
As1 As 0.333 0.667 0.604
As2 As 0.333 0.667 0.896
As3 As 0.667 0.333 0.104
As4 As 0.667 0.333 0.396

---

[3]
# ZrNi2PdN GGA-PBE optimized geometry
# Final energy: -0.265 Ha/atom
# Symmetry: P4/mmm, No. 123
data_ZrNi2PdN
_cell_length_a 3.887
_cell_length_b 3.887
_cell_length_c 4.331
_cell_angle_alpha 90.00
_cell_angle_beta 90.00
_cell_angle_gamma 90.00
_symmetry_space_group_name_H-M 'P 1'
_symmetry_Int_Tables_number 1
_symmetry_space_group_name_Hall 'P 1'
loop_
_atom_site_label
_atom_site_type_symbol
_atom_site_fract_x
_atom_site_fract_y
_atom_site_fract_z
Zr1 Zr 0.000 0.000 0.000
Ni1 Ni 0.000 0.500 0.500
Ni2 Ni 0.500 0.000 0.500
Pd1 Pd 0.500 0.500 0.000
N1 N 0.000 0.000 0.500

---

[4]
# CeSbO GGA-PBE optimized geometry
# Final energy: -0.254 Ha/atom
# Symmetry: I4/mmm, No. 139
data_CeSbO
_cell_length_a 10.885
_cell_length_b 10.885
_cell_length_c 10.885
_cell_angle_alpha 161.74
_cell_angle_beta 161.74
_cell_angle_gamma 25.93
_symmetry_space_group_name_H-M 'P 1'
_symmetry_Int_Tables_number 1
_symmetry_space_group_name_Hall 'P 1'
loop_
_atom_site_label
_atom_site_type_symbol
_atom_site_fract_x
_atom_site_fract_y
_atom_site_fract_z
Ce1 Ce 0.181 0.181 0.000
Ce2 Ce 0.819 0.819 0.000
Sb1 Sb 0.434 0.434 0.000
Sb2 Sb 0.566 0.566 0.000
O1 O 0.291 0.291 0.000
O2 O 0.709 0.709 0.000

---

[5]
# CeTlNiAu GGA-PBE optimized geometry
# Energy of formation from the pure elements: -0.2628 eV per atom
# Symmetry: F-43m, No. 216
data_CeTlNiAu
_cell_length_a 4.917
_cell_length_b 4.917
_cell_length_c 4.917
_cell_angle_alpha 60.00
_cell_angle_beta 60.00
_cell_angle_gamma 60.00
_symmetry_space_group_name_H-M 'P 1'
_symmetry_Int_Tables_number 1
_symmetry_space_group_name_Hall 'P 1'
loop_
_atom_site_label
_atom_site_type_symbol
_atom_site_fract_x
_atom_site_fract_y
_atom_site_fract_z
Ce1 Ce 0.000 0.000 0.000
Tl1 Tl 0.500 0.500 0.500
Ni1 Ni 0.250 0.250 0.250
Au1 Au 0.750 0.750 0.750

---

[6]
# SrMnB2 GGA-PBE optimized geometry
# Energy of formation from the pure elements: 0.3108 eV per atom
# Symmetry: I4_1/amd, No. 141
data_SrMnB2
_cell_length_a 7.008
_cell_length_b 7.008
_cell_length_c 7.008
_cell_angle_alpha 140.51
_cell_angle_beta 140.51
_cell_angle_gamma 57.07
_symmetry_space_group_name_H-M 'P 1'
_symmetry_Int_Tables_number 1
_symmetry_space_group_name_Hall 'P 1'
loop_
_atom_site_label
_atom_site_type_symbol
_atom_site_fract_x
_atom_site_fract_y
_atom_site_fract_z
Sr1 Sr 0.375 0.625 0.750
Sr2 Sr 0.625 0.375 0.250
Mn1 Mn 0.125 0.875 0.250
Mn2 Mn 0.875 0.125 0.750
B1 B 0.000 0.000 0.000
B2 B 0.000 0.000 0.500
B3 B 0.000 0.500 0.000
B4 B 0.500 0.000 0.500

---

[7]
# CaPrHgRu GGA-PBE optimized geometry
# Energy of formation from the pure elements: -0.1305 eV per atom
# Symmetry: F-43m, No. 216
data_CaPrHgRu
_cell_length_a 5.154
_cell_length_b 5.154
_cell_length_c 5.154
_cell_angle_alpha 60.00
_cell_angle_beta 60.00
_cell_angle_gamma 60.00
_symmetry_space_group_name_H-M 'P 1'
_symmetry_Int_Tables_number 1
_symmetry_space_group_name_Hall 'P 1'
loop_
_atom_site_label
_atom_site_type_symbol
_atom_site_fract_x
_atom_site_fract_y
_atom_site_fract_z
Ca1 Ca 0.000 0.000 0.000
Pr1 Pr 0.500 0.500 0.500
Hg1 Hg 0.250 0.250 0.250
Ru1 Ru 0.750 0.750 0.750

---

[8]
# CdAgSb2 GGA-PBE optimized geometry
# Final energy: -0.107 Ha/atom
# Symmetry: R3m, No. 160
data_CdAgSb2
_cell_length_a 6.399
_cell_length_b 6.399
_cell_length_c 6.399
_cell_angle_alpha 42.09
_cell_angle_beta 42.09
_cell_angle_gamma 42.09
_symmetry_space_group_name_H-M 'P 1'
_symmetry_Int_Tables_number 1
_symmetry_space_group_name_Hall 'P 1'
loop_
_atom_site_label
_atom_site_type_symbol
_atom_site_fract_x
_atom_site_fract_y
_atom_site_fract_z
Cd1 Cd 0.000 0.000 0.000
Ag1 Ag 0.169 0.169 0.169
Sb1 Sb 0.582 0.582 0.582
Sb2 Sb 0.758 0.758 0.758